(1)
The following is a PBE calculation of crystalline Tb2SmInN4 at its relaxed geometry, from Alexandria.

a = 6.0469 Å, b = 3.4959 Å, c = 6.0734 Å
α = 90.00°, β = 110.63°, γ = 90.00°
Space group P2/m (No. 10)
Inequivalent atoms, fractional coordinates:
Tb  0.0000  0.0000  0.0000 x1
Tb  0.5000  0.5000  0.0000 x1
Sm  0.0000  0.5000  0.5000 x1
In  0.5000  0.0000  0.5000 x1
N  0.2453  0.0000  0.7626 x2
N  0.2537  0.5000  0.2495 x2

(2)
The following is a PBE calculation of crystalline TbSmInN3 at its relaxed geometry, from Alexandria.

a = 5.9434 Å, b = 3.4360 Å, c = 8.8347 Å
α = 90.00°, β = 99.41°, γ = 90.00°
Space group P2_1/m (No. 11)
Inequivalent atoms, fractional coordinates:
Tb  0.2375  0.2500  0.4501 x2
Sm  0.3395  0.7500  0.8072 x2
In  0.1514  0.7500  0.1410 x2
N  0.0414  0.2500  0.6630 x2
N  0.2547  0.2500  0.0094 x2
N  0.4628  0.7500  0.3364 x2

(3)
The following is a PBE calculation of crystalline Tb2SmInN at its relaxed geometry, from Alexandria.

a = 4.8553 Å, b = 4.8553 Å, c = 4.9536 Å
α = 90.00°, β = 90.00°, γ = 90.00°
Space group P4/mmm (No. 123)
Inequivalent atoms, fractional coordinates:
Tb  0.0000  0.5000  0.0000 x2
Sm  0.0000  0.0000  0.5000 x1
In  0.5000  0.5000  0.5000 x1
N  0.0000  0.0000  0.0000 x1

Quick rundown of energy relative to the elements, uncorrected, same order as above: -8.8; -5.4; -4.8 eV/f.u.